(1)
First-principles (PBE) data for Co4SiH after structural relaxation, as listed in the Alexandria database.

Cell: 4.417 5.245 5.245 Å, 104.32 99.84 99.84°
Last column: magnetic moment on the atom in μB.
Fractional coordinates of all 12 atoms:
Co 0.128 0.419 0.189  1.20
Co 0.048 0.957 0.246  1.06
Co 0.452 0.754 0.043  1.06
Co 0.952 0.043 0.754  1.06
Co 0.548 0.246 0.957  1.06
Co 0.872 0.581 0.811  1.20
Co 0.372 0.811 0.581  1.20
Co 0.628 0.189 0.419  1.20
Si 0.750 0.628 0.372  -0.05
Si 0.250 0.372 0.628  -0.05
H 0.250 0.003 0.997  -0.01
H 0.750 0.997 0.003  -0.01

Output
energy above the lowest structure with this stoichiometry = 0.000 eV/atom
DFT total energy = -75.81 eV/cell
crystal system = monoclinic

---

(2)
First-principles (PBE) data for Cs2Rb3Ag2 after structural relaxation, as listed in the Alexandria database.

Cell: 5.188 8.786 10.507 Å, 80.73 89.96 72.89°
Fractional coordinates of all 7 atoms:
Ag 0.947 0.106 0.376
Ag 0.053 0.894 0.624
Rb 0.320 0.360 0.183
Rb 0.680 0.640 0.817
Rb 0.000 0.000 0.000
Cs 0.390 0.222 0.614
Cs 0.610 0.778 0.386

Output
energy relative to the elements = 0.209 eV/f.u.
DFT total energy = -10.10 eV/cell
crystal system = triclinic

---

(3)
First-principles (PBE) data for RbLiAl after structural relaxation, as listed in the Alexandria database.

Cell: 12.561 4.579 7.934 Å, 90.00 95.96 90.00°
Fractional coordinates of all 12 atoms:
Rb 0.174 0.000 0.229
Rb 0.816 0.500 0.165
Rb 0.816 0.000 0.665
Rb 0.174 0.500 0.729
Li 0.457 0.500 0.106
Li 0.597 0.000 0.962
Li 0.597 0.500 0.462
Li 0.457 0.000 0.606
Al 0.390 0.000 0.929
Al 0.469 0.000 0.275
Al 0.390 0.500 0.429
Al 0.469 0.500 0.775

Output
energy relative to the elements = 0.180 eV/f.u.
energy above the lowest structure with this stoichiometry = 0.041 eV/atom
DFT total energy = -25.78 eV/cell
crystal system = monoclinic

---

> What is the formula in the first record?

Co4SiH